A plane-wave DFT calculation with meta-GGA SCAN was carried out for a crystal of Sr3OsPt relaxed with PBEsol.

Calculated values
formation energy from the elements = 0.56 eV/atom
ρ = 6.23 g cm⁻³
volume = 34.57 A^3/atom

Lattice parameters (Å, degrees): 5.5704 5.5704 5.5704 90.00 90.00 90.00
Closest atoms and distances in Å follow each position.
Element x y z (fractional)
1 Sr 0.0000 0.0000 0.5000  2 Pt 2.79
2 Sr 0.0000 0.5000 0.0000  2 Pt 2.79
3 Sr 0.5000 0.0000 0.0000  2 Pt 2.79
4 Os 0.5000 0.5000 0.5000  12 Sr 3.94
5 Pt 0.0000 0.0000 0.0000  6 Sr 2.79



A plane-wave DFT calculation with meta-GGA SCAN was carried out for a crystal of CaReIr2 relaxed with PBEsol.

Calculated values
formation energy from the elements = 0.37 eV/atom
ρ = 15.98 g cm⁻³
volume = 15.87 A^3/atom
E above lowest polymorph = 135.2 meV/atom

Lattice parameters (Å, degrees): 4.9969 4.9969 4.9969 134.02 134.02 67.05
Closest atoms and distances in Å follow each position.
Element x y z (fractional)
1 Ca 0.0000 0.0000 0.0000  8 Ir 2.76-2.85, 4 Re 2.85
2 Re 0.2500 0.7500 0.5000  8 Ir 2.76-2.85, 4 Ca 2.85
3 Ir 0.5000 0.5000 0.0000  4 Ca 2.76, 4 Ir 2.85, 4 Re 2.85
4 Ir 0.7500 0.2500 0.5000  4 Re 2.76, 4 Ca 2.85, 4 Ir 2.85



A plane-wave DFT calculation with meta-GGA SCAN was carried out for a crystal of Sb2PbCl relaxed with PBEsol.

Calculated values
ρ = 7.96 g cm⁻³
volume = 25.37 A^3/atom
E above lowest polymorph = 53.9 meV/atom
uncorrected formation energy = -0.149 eV per atom

Lattice parameters (Å, degrees): 5.2353 5.2353 5.2353 60.00 60.00 60.00
Closest atoms and distances in Å follow each position.
Element x y z (fractional)
1 Sb 0.0000 0.0000 0.0000  4 Cl 3.21, 4 Sb 3.21
2 Sb 0.2500 0.2500 0.2500  4 Pb 3.21, 4 Sb 3.21
3 Pb 0.5000 0.5000 0.5000  4 Cl 3.21, 4 Sb 3.21
4 Cl 0.7500 0.7500 0.7500  4 Pb 3.21, 4 Sb 3.21



A plane-wave DFT calculation with meta-GGA SCAN was carried out for a crystal of LiLaTa2 relaxed with PBEsol.

Calculated values
formation energy from the elements = 0.37 eV/atom
ρ = 9.81 g cm⁻³
volume = 21.48 A^3/atom
E above lowest polymorph = 0.0 meV/atom

Lattice parameters (Å, degrees): 3.4612 3.4612 7.1710 90.00 90.00 90.00
Closest atoms and distances in Å follow each position.
Element x y z (fractional)
1 Li 0.0000 0.0000 0.0000  5 Ta 2.81-2.91
2 La 0.5000 0.5000 0.6841  5 Ta 3.22-3.33, 4 Li 3.33, 4 La 3.46
3 Ta 0.0000 0.0000 0.3923  4 Ta 2.74, 1 Li 2.81
4 Ta 0.5000 0.5000 0.2200  4 Ta 2.74, 4 Li 2.91



Please write out number 4 again, unchanged.
A plane-wave DFT calculation with meta-GGA SCAN was carried out for a crystal of LiLaTa2 relaxed with PBEsol.

Calculated values
formation energy from the elements = 0.37 eV/atom
ρ = 9.81 g cm⁻³
volume = 21.48 A^3/atom
E above lowest polymorph = 0.0 meV/atom

Lattice parameters (Å, degrees): 3.4612 3.4612 7.1710 90.00 90.00 90.00
Closest atoms and distances in Å follow each position.
Element x y z (fractional)
1 Li 0.0000 0.0000 0.0000  5 Ta 2.81-2.91
2 La 0.5000 0.5000 0.6841  5 Ta 3.22-3.33, 4 Li 3.33, 4 La 3.46
3 Ta 0.0000 0.0000 0.3923  4 Ta 2.74, 1 Li 2.81
4 Ta 0.5000 0.5000 0.2200  4 Ta 2.74, 4 Li 2.91



What did the fourth record say?
A plane-wave DFT calculation with meta-GGA SCAN was carried out for a crystal of LiLaTa2 relaxed with PBEsol.

Calculated values
formation energy from the elements = 0.37 eV/atom
ρ = 9.81 g cm⁻³
volume = 21.48 A^3/atom
E above lowest polymorph = 0.0 meV/atom

Lattice parameters (Å, degrees): 3.4612 3.4612 7.1710 90.00 90.00 90.00
Closest atoms and distances in Å follow each position.
Element x y z (fractional)
1 Li 0.0000 0.0000 0.0000  5 Ta 2.81-2.91
2 La 0.5000 0.5000 0.6841  5 Ta 3.22-3.33, 4 Li 3.33, 4 La 3.46
3 Ta 0.0000 0.0000 0.3923  4 Ta 2.74, 1 Li 2.81
4 Ta 0.5000 0.5000 0.2200  4 Ta 2.74, 4 Li 2.91